Entry 1:
Here is a relaxed CePd3Au crystal from Alexandria via LeMat-Bulk. Energies are from PBE.

The structure in CIF format:
```
data_CePd3Au
_symmetry_space_group_name_H-M 'P 1'
_symmetry_Int_Tables_number 1
_cell_length_a 5.320
_cell_length_b 5.286
_cell_length_c 6.839
_cell_angle_alpha 90.00
_cell_angle_beta 99.64
_cell_angle_gamma 90.00
loop_
_symmetry_equiv_pos_as_xyz
'x,y,z'
loop_
_atom_site_label
_atom_site_fract_x
_atom_site_fract_y
_atom_site_fract_z
Ce1 0.210 0.250 0.146
Ce2 0.790 0.750 0.854
Pd1 0.239 0.750 0.763
Pd2 0.476 0.750 0.148
Pd3 0.500 0.000 0.500
Pd4 0.500 0.500 0.500
Pd5 0.524 0.250 0.852
Pd6 0.761 0.250 0.237
Au1 0.004 0.250 0.648
Au2 0.996 0.750 0.352
```

Summary:
* M_tot: 0.76 μB/cell
* crystal system: monoclinic
* distance to the lowest polymorph of the same formula: 0 kJ/mol of formula units



Entry 2:
Here is a relaxed Ge6Se8Cl crystal from Alexandria via LeMat-Bulk. Energies are from PBE.

The structure in CIF format:
```
data_Ge6Se8Cl
_symmetry_space_group_name_H-M 'P 1'
_symmetry_Int_Tables_number 1
_cell_length_a 7.616
_cell_length_b 7.616
_cell_length_c 7.616
_cell_angle_alpha 95.28
_cell_angle_beta 95.28
_cell_angle_gamma 95.28
loop_
_symmetry_equiv_pos_as_xyz
'x,y,z'
loop_
_atom_site_label
_atom_site_fract_x
_atom_site_fract_y
_atom_site_fract_z
Ge1 0.173 0.530 0.389
Ge2 0.389 0.173 0.530
Ge3 0.470 0.611 0.827
Ge4 0.530 0.389 0.173
Ge5 0.611 0.827 0.470
Ge6 0.827 0.470 0.611
Se1 0.135 0.409 0.691
Se2 0.225 0.225 0.225
Se3 0.309 0.865 0.591
Se4 0.409 0.691 0.135
Se5 0.591 0.309 0.865
Se6 0.691 0.135 0.409
Se7 0.775 0.775 0.775
Se8 0.865 0.591 0.309
Cl1 0.000 0.000 0.000
```

Summary:
* M_tot: 0.00 μB/cell
* crystal system: trigonal
* ΔE_f (raw): -0.0885 eV/atom



Entry 3:
Here is a relaxed Rb4U3CdTe8 crystal from Alexandria via LeMat-Bulk. Energies are from PBE.

The structure in CIF format:
```
data_Rb4U3CdTe8
_symmetry_space_group_name_H-M 'P 1'
_symmetry_Int_Tables_number 1
_cell_length_a 10.017
_cell_length_b 10.017
_cell_length_c 10.017
_cell_angle_alpha 54.43
_cell_angle_beta 54.43
_cell_angle_gamma 54.43
loop_
_symmetry_equiv_pos_as_xyz
'x,y,z'
loop_
_atom_site_label
_atom_site_fract_x
_atom_site_fract_y
_atom_site_fract_z
Rb1 0.000 0.000 0.000
Rb2 0.000 0.500 0.500
Rb3 0.500 0.000 0.500
Rb4 0.500 0.500 0.000
U1 0.000 0.000 0.500
U2 0.000 0.500 0.000
U3 0.500 0.000 0.000
Cd1 0.500 0.500 0.500
Te1 0.230 0.733 0.733
Te2 0.234 0.234 0.234
Te3 0.267 0.267 0.770
Te4 0.267 0.770 0.267
Te5 0.733 0.230 0.733
Te6 0.733 0.733 0.230
Te7 0.766 0.766 0.766
Te8 0.770 0.267 0.267
```

Summary:
* M_tot: 7.93 μB/cell
* crystal system: trigonal
* ΔE_f (raw): -0.7936 eV/atom



Entry 4:
Here is a relaxed AgHIF crystal from Alexandria via LeMat-Bulk. Energies are from PBE.

The structure in CIF format:
```
data_AgHIF
_symmetry_space_group_name_H-M 'P 1'
_symmetry_Int_Tables_number 1
_cell_length_a 4.194
_cell_length_b 4.133
_cell_length_c 5.932
_cell_angle_alpha 90.00
_cell_angle_beta 95.59
_cell_angle_gamma 90.00
loop_
_symmetry_equiv_pos_as_xyz
'x,y,z'
loop_
_atom_site_label
_atom_site_fract_x
_atom_site_fract_y
_atom_site_fract_z
Ag1 0.000 0.000 0.000
H1 0.711 0.000 0.448
I1 0.504 0.500 0.050
F1 0.914 0.000 0.533
```

Summary:
* M_tot: 0.00 μB/cell
* crystal system: monoclinic
* E_tot: -12.670 eV per cell



Entry 5:
Here is a relaxed Tb8Tm3In crystal from Alexandria via LeMat-Bulk. Energies are from PBE.

The structure in CIF format:
```
data_Tb8Tm3In
_symmetry_space_group_name_H-M 'P 1'
_symmetry_Int_Tables_number 1
_cell_length_a 8.287
_cell_length_b 8.287
_cell_length_c 8.287
_cell_angle_alpha 117.73
_cell_angle_beta 117.73
_cell_angle_gamma 93.97
loop_
_symmetry_equiv_pos_as_xyz
'x,y,z'
loop_
_atom_site_label
_atom_site_fract_x
_atom_site_fract_y
_atom_site_fract_z
Tb1 0.129 0.129 0.746
Tb2 0.235 0.725 0.000
Tb3 0.275 0.275 0.510
Tb4 0.382 0.382 0.254
Tb5 0.618 0.871 0.000
Tb6 0.725 0.235 0.000
Tb7 0.765 0.765 0.490
Tb8 0.871 0.618 0.000
Tm1 0.250 0.750 0.500
Tm2 0.500 0.500 0.000
Tm3 0.750 0.250 0.500
In1 0.000 0.000 0.000
```

Summary:
* M_tot: 0.00 μB/cell
* crystal system: tetragonal
* E_tot: -47.066 eV per cell



Entry 6:
Here is a relaxed Sm2HoTl4 crystal from Alexandria via LeMat-Bulk. Energies are from PBE.

The structure in CIF format:
```
data_Sm2HoTl4
_symmetry_space_group_name_H-M 'P 1'
_symmetry_Int_Tables_number 1
_cell_length_a 8.856
_cell_length_b 8.856
_cell_length_c 8.856
_cell_angle_alpha 141.97
_cell_angle_beta 141.97
_cell_angle_gamma 54.87
loop_
_symmetry_equiv_pos_as_xyz
'x,y,z'
loop_
_atom_site_label
_atom_site_fract_x
_atom_site_fract_y
_atom_site_fract_z
Sm1 0.102 0.102 0.000
Sm2 0.898 0.898 0.000
Ho1 0.500 0.500 0.000
Tl1 0.000 0.500 0.500
Tl2 0.305 0.305 0.000
Tl3 0.500 0.000 0.500
Tl4 0.695 0.695 0.000
```

Summary:
* M_tot: 0.00 μB/cell
* crystal system: tetragonal
* distance to the lowest polymorph of the same formula: 256 kJ/mol of formula units



Entry 7:
Here is a relaxed Pr2YErTl2 crystal from Alexandria via LeMat-Bulk. Energies are from PBE.

The structure in CIF format:
```
data_Pr2YErTl2
_symmetry_space_group_name_H-M 'P 1'
_symmetry_Int_Tables_number 1
_cell_length_a 5.144
_cell_length_b 10.248
_cell_length_c 6.937
_cell_angle_alpha 90.00
_cell_angle_beta 90.00
_cell_angle_gamma 90.00
loop_
_symmetry_equiv_pos_as_xyz
'x,y,z'
loop_
_atom_site_label
_atom_site_fract_x
_atom_site_fract_y
_atom_site_fract_z
Pr1 0.000 0.045 0.000
Pr2 0.000 0.955 0.500
Pr3 0.500 0.188 0.267
Pr4 0.500 0.812 0.767
Y1 0.500 0.457 0.898
Y2 0.500 0.543 0.398
Er1 0.000 0.315 0.613
Er2 0.000 0.685 0.113
Tl1 0.000 0.379 0.157
Tl2 0.000 0.621 0.657
Tl3 0.500 0.147 0.738
Tl4 0.500 0.853 0.238
```

Summary:
* M_tot: 0.00 μB/cell
* crystal system: orthorhombic
* E_tot: -53.951 eV per cell



Q: Among the records above, which one has the highest M_tot?
A: Rb4U3CdTe8